Compound: Cd2HgPb
Source: the Alexandria database
Functional: GGA-PBE
Structure: optimized geometry

```
Cd2HgPb
1.0
-3.2401 1.0801 -0.2113
0.5399 -2.5266 2.2438
1.7888 6.7741 7.1974
Pb Hg Cd
1 1 2
Direct
0.5000 0.5000 0.7500 Pb
0.5000 0.5000 0.2500 Hg
0.0000 0.0000 0.0149 Cd
0.0000 0.0000 0.4851 Cd
```

Summary:
The mass density is 9856 kg/m³. The value obtained for the relative energy among the computed polymorphs is 22 meV per atom. The total magnetization comes out at 0.00 μB/cell.

=====

Compound: PmMnRh2
Source: the Alexandria database
Functional: GGA-PBE
Structure: optimized geometry

```
PmMnRh2
1.0
-0.9309 3.7995 1.7735
-3.8558 0.6542 1.7755
0.0864 -0.0768 5.4109
Mn Rh Pm
1 2 1
Direct
0.5000 0.5000 0.5000 Mn
0.7890 0.7890 0.6329 Rh
0.2110 0.2110 0.3671 Rh
0.0000 0.0000 0.0000 Pm
```

Summary:
The mass density is 8766 kg/m³. The total energy comes out at -7.48 eV per atom. The total magnetization comes out at 3.74 μB/cell.

=====

Compound: Tb3Pr2TmSe6
Source: the Alexandria database
Functional: GGA-PBE
Structure: optimized geometry

```
Tb3Pr2TmSe6
1.0
4.1143 0.0000 0.0000
0.0000 8.3367 0.3199
-2.0572 -2.3814 8.6992
Tb Pr Tm Se
3 2 1 6
Direct
0.5000 0.5000 0.0000 Tb
0.8274 0.1655 0.6548 Tb
0.1726 0.8345 0.3452 Tb
0.8304 0.6628 0.6609 Pr
0.1696 0.3372 0.3391 Pr
0.5000 0.0000 0.0000 Tm
0.3383 0.9289 0.6766 Se
0.6616 0.5917 0.3232 Se
0.6617 0.0711 0.3234 Se
0.9955 0.2417 0.9911 Se
0.0045 0.7583 0.0089 Se
0.3384 0.4083 0.6768 Se
```

Summary:
The mass density is 7717 kg/m³. The calculation puts the raw formation energy at -1775 meV/atom. The total magnetization comes out at 0.00 μB/cell.

=====

Compound: AcSm2ThP4
Source: the Alexandria database
Functional: GGA-PBE
Structure: optimized geometry

```
AcSm2ThP4
1.0
4.1986 0.0000 0.0000
0.0000 7.2464 -0.1388
0.0000 2.5548 6.8303
Ac Sm Th P
1 2 1 4
Direct
0.5000 0.5000 0.0000 Ac
0.0000 0.0000 0.0000 Sm
0.5000 0.0000 0.5000 Sm
0.0000 0.5000 0.5000 Th
0.0000 0.7601 0.7362 P
0.0000 0.2399 0.2638 P
0.5000 0.7542 0.2577 P
0.5000 0.2458 0.7423 P
```

Summary:
The mass density is 7011 kg/m³. The total energy comes out at -6.86 eV per atom. The total magnetization comes out at 0.00 μB/cell.

=====

Compound: TmFe2SiH
Source: the Alexandria database
Functional: GGA-PBE
Structure: optimized geometry

```
TmFe2SiH
1.0
3.4636 0.0000 0.0000
-1.7318 5.1403 0.0000
0.0000 0.0000 7.0952
Tm Fe Si H
2 4 2 2
Direct
0.4548 0.9096 0.7500 Tm
0.5452 0.0904 0.2500 Tm
0.1655 0.3311 0.9461 Fe
0.8345 0.6689 0.0539 Fe
0.1655 0.3311 0.5539 Fe
0.8345 0.6689 0.4461 Fe
0.7341 0.4682 0.7500 Si
0.2659 0.5318 0.2500 Si
0.0000 0.0000 0.0000 H
0.0000 0.0000 0.5000 H
```

Summary:
The mass density is 8143 kg/m³. The total energy comes out at -6.53 eV per atom. The total magnetization comes out at 6.67 μB/cell.

=====

Compound: Tl2IrRhO8
Source: the Alexandria database
Functional: GGA-PBE
Structure: optimized geometry

```
Tl2IrRhO8
1.0
-4.3710 2.3767 -0.4082
-1.8033 -4.0355 -2.0284
-1.7414 -2.1888 5.9027
Tl Ir Rh O
2 1 1 8
Direct
0.5000 0.5000 0.7487 Tl
0.5000 0.5000 0.2513 Tl
0.0000 0.0000 0.0000 Ir
0.0000 0.0000 0.5000 Rh
0.1486 0.8107 0.2453 O
0.6972 0.7444 0.0000 O
0.8514 0.1893 0.2453 O
0.8514 0.1893 0.7547 O
0.3028 0.2556 0.0000 O
0.1486 0.8107 0.7547 O
0.6933 0.7422 0.5000 O
0.3067 0.2578 0.5000 O
```

Summary:
The mass density is 8717 kg/m³. The calculation puts the raw formation energy at -550 meV/atom. The total magnetization comes out at 2.56 μB/cell.

=====

Compound: La4TaNi
Source: the Alexandria database
Functional: GGA-PBE
Structure: optimized geometry

```
La4TaNi
1.0
0.0000 4.4156 4.4156
4.4156 0.0000 4.4156
4.4156 4.4156 0.0000
La Ta Ni
4 1 1
Direct
0.8751 0.3750 0.3750 La
0.3750 0.3750 0.8751 La
0.3750 0.8751 0.3750 La
0.3750 0.3750 0.3750 La
0.0000 0.0000 0.0000 Ta
0.7500 0.7500 0.7500 Ni
```

Summary:
The mass density is 7670 kg/m³. The total energy comes out at -5.21 eV per atom. The total magnetization comes out at 1.82 μB/cell.

=====

Compound: PmMg9Au2
Source: the Alexandria database
Functional: GGA-PBE
Structure: optimized geometry

```
PmMg9Au2
1.0
6.8426 0.0000 3.1502
3.4213 8.3943 1.5751
-0.0891 0.0000 9.2001
Pm Mg Au
2 18 4
Direct
0.5000 0.0000 0.0000 Pm
0.2500 0.5000 0.5000 Pm
0.7500 0.5000 0.5000 Mg
0.0000 0.0000 0.0000 Mg
0.0066 0.9236 0.6799 Mg
0.6101 0.0764 0.3201 Mg
0.6802 0.1799 0.5764 Mg
0.4365 0.8201 0.4236 Mg
0.7434 0.8201 0.5764 Mg
0.1399 0.1799 0.4236 Mg
0.0698 0.9236 0.3201 Mg
0.3135 0.0764 0.6799 Mg
0.7434 0.5764 0.8201 Mg
0.1399 0.4236 0.1799 Mg
0.0698 0.3201 0.9236 Mg
0.3135 0.6799 0.0764 Mg
0.0066 0.6799 0.9236 Mg
0.6101 0.3201 0.0764 Mg
0.6802 0.5764 0.1799 Mg
0.4365 0.4236 0.8201 Mg
0.8750 0.2500 0.7500 Au
0.8750 0.7500 0.2500 Au
0.8750 0.2500 0.2500 Au
0.3750 0.7500 0.7500 Au
```

Summary:
The mass density is 4741 kg/m³. The total energy comes out at -2.42 eV per atom. The total magnetization comes out at 0.00 μB/cell.

=====

Compound: CoRe3Te
Source: the Alexandria database
Functional: GGA-PBE
Structure: optimized geometry

```
CoRe3Te
1.0
4.4924 0.0000 0.0000
0.0000 4.4924 0.0000
0.0000 0.0000 4.4924
Re Te Co
3 1 1
Direct
0.0000 0.5000 0.0000 Re
0.0000 0.0000 0.5000 Re
0.5000 0.0000 0.0000 Re
0.5000 0.5000 0.5000 Te
0.0000 0.0000 0.0000 Co
```

Summary:
The mass density is 13648 kg/m³. The calculation puts the raw formation energy at 1679 meV/atom. The value obtained for the relative energy among the computed polymorphs is 0 meV per atom. The total magnetization comes out at 0.00 μB/cell.

=====

Compound: YLuIn4
Source: the Alexandria database
Functional: GGA-PBE
Structure: optimized geometry

```
YLuIn4
1.0
5.9747 0.0000 0.0000
2.9873 5.1742 0.0000
2.9873 1.7247 4.8783
Y Lu In
1 1 4
Direct
0.2500 0.2500 0.2500 Y
0.0000 0.0000 0.0000 Lu
0.6250 0.6250 0.1249 In
0.6250 0.1249 0.6250 In
0.6250 0.6250 0.6250 In
0.1249 0.6250 0.6250 In
```

Summary:
The mass density is 7962 kg/m³. The total energy comes out at -3.94 eV per atom. The total magnetization comes out at 0.00 μB/cell.

=====

Compound: SrBi2RuO8
Source: the Alexandria database
Functional: GGA-PBE
Structure: optimized geometry

```
SrBi2RuO8
1.0
5.1622 0.0900 -0.0033
0.1303 5.1387 -0.0057
0.0046 0.0077 6.9802
Sr Bi Ru O
1 2 1 8
Direct
0.0000 0.0000 0.5000 Sr
0.5000 0.5000 0.7505 Bi
0.5000 0.5000 0.2495 Bi
0.0000 0.0000 0.0000 Ru
0.1791 0.8039 0.2022 O
0.7379 0.7576 0.0000 O
0.8209 0.1961 0.2022 O
0.8209 0.1961 0.7978 O
0.2621 0.2424 0.0000 O
0.1791 0.8039 0.7978 O
0.6672 0.6838 0.5000 O
0.3328 0.3162 0.5000 O
```

Summary:
The mass density is 6591 kg/m³. The calculation puts the raw formation energy at -1205 meV/atom. The total magnetization comes out at 0.00 μB/cell.

=====

Compound: Ce12ThTl3
Source: the Alexandria database
Functional: GGA-PBE
Structure: optimized geometry

```
Ce12ThTl3
1.0
-3.2624 2.7771 -2.1968
-3.4786 -3.0715 1.2831
-2.6670 9.9079 16.4862
Ce Th Tl
12 1 3
Direct
0.5000 0.5000 0.0000 Ce
0.5000 0.5000 0.2503 Ce
0.5000 0.5000 0.5000 Ce
0.5000 0.5000 0.7497 Ce
0.5000 0.0000 0.1251 Ce
0.5000 0.0000 0.3753 Ce
0.5000 0.0000 0.6247 Ce
0.5000 0.0000 0.8749 Ce
0.0000 0.5000 0.1251 Ce
0.0000 0.5000 0.3753 Ce
0.0000 0.5000 0.6247 Ce
0.0000 0.5000 0.8749 Ce
0.0000 0.0000 0.0000 Th
0.0000 0.0000 0.2509 Tl
0.0000 0.0000 0.5000 Tl
0.0000 0.0000 0.7491 Tl
```

Summary:
The mass density is 9320 kg/m³. The total energy comes out at -5.44 eV per atom. The total magnetization comes out at 10.18 μB/cell.